Entry 1:
First-principles (PBE-GGA) data for an optimized crystal structure of AgHPd3, as listed in Alexandria via LeMat-Bulk.

Unit cell a=2.8172 b=5.6503 c=8.3318 alpha=90.00 beta=90.00 gamma=90.00
With the nearest neighbours (Å) after each atom.
Element x y z (fractional)
1 H 0.5030 0.2500 0.7833  5 Pd 1.85-2.02
2 H 0.4970 0.7500 0.2167  5 Pd 1.85-2.02
3 Pd 0.0001 0.9999 0.7538  2 H 2.00-2.02
4 Pd 0.9999 0.0001 0.2462  2 H 2.00-2.02
5 Pd 0.0001 0.5001 0.7538  2 H 2.00-2.02
6 Pd 0.9999 0.4999 0.2462  2 H 2.00-2.02
7 Pd 0.5000 0.2500 0.0049  1 H 1.85
8 Pd 0.5000 0.7500 0.9951  1 H 1.85
9 Ag 0.4999 0.2500 0.4942  1 H 2.41
10 Ag 0.5001 0.7500 0.5058  1 H 2.41

Calculated values
Its crystal system is monoclinic. Its total moment is 0.00 μB/atom. The electronic total energy comes out at -4.41 eV per atom.

Entry 2:
First-principles (PBE-GGA) data for an optimized crystal structure of Ba3Pt2Pb3, as listed in Alexandria via LeMat-Bulk.

Unit cell a=4.8883 b=6.5155 c=17.5113 alpha=90.00 beta=90.00 gamma=112.03
With the nearest neighbours (Å) after each atom.
Element x y z (fractional)
1 Ba 0.9421 0.8842 0.3911  3 Pt 3.51-3.52, 7 Pb 3.62-3.80
2 Ba 0.0579 0.1158 0.8911  3 Pt 3.51-3.52, 7 Pb 3.62-3.80
3 Ba 0.9421 0.8842 0.1089  3 Pt 3.51-3.52, 7 Pb 3.62-3.80
4 Ba 0.0579 0.1158 0.6089  3 Pt 3.51-3.52, 7 Pb 3.62-3.80
5 Ba 0.6560 0.3119 0.2500  5 Pb 3.45-3.73, 4 Pt 3.58
6 Ba 0.3440 0.6881 0.7500  5 Pb 3.45-3.73, 4 Pt 3.58
7 Pt 0.7671 0.5342 0.8896  4 Pb 2.87-2.90
8 Pt 0.2329 0.4658 0.3896  4 Pb 2.87-2.90
9 Pt 0.7671 0.5342 0.6104  4 Pb 2.87-2.90
10 Pt 0.2329 0.4658 0.1104  4 Pb 2.87-2.90
11 Pb 0.6588 0.3176 0.4630  3 Pt 2.89-2.90
12 Pb 0.3412 0.6824 0.9630  3 Pt 2.89-2.90
13 Pb 0.6588 0.3176 0.0370  3 Pt 2.89-2.90
14 Pb 0.3412 0.6824 0.5370  3 Pt 2.89-2.90
15 Pb 0.3577 0.7154 0.2500  2 Pt 2.87
16 Pb 0.6423 0.2846 0.7500  2 Pt 2.87

Calculated values
The formation energy from the elements comes out at -4.74 eV/f.u. Its crystal system is orthorhombic. Its total moment is 0.00 μB/atom.

Entry 3:
First-principles (PBE-GGA) data for an optimized crystal structure of TiBe2Mo2, as listed in Alexandria via LeMat-Bulk.

Unit cell a=6.2636 b=6.2636 c=3.2291 alpha=90.00 beta=90.00 gamma=90.00
With the nearest neighbours (Å) after each atom.
Element x y z (fractional)
1 Be 0.3842 0.8842 0.0000  1 Be 2.05
2 Be 0.8842 0.6158 0.0000  1 Be 2.05
3 Be 0.6158 0.1158 0.0000  1 Be 2.05
4 Be 0.1158 0.3842 0.0000  1 Be 2.05
5 Mo 0.1771 0.6771 0.5000  6 Be 2.44-2.47
6 Mo 0.6771 0.8229 0.5000  6 Be 2.44-2.47
7 Mo 0.8229 0.3229 0.5000  6 Be 2.44-2.47
8 Mo 0.3229 0.1771 0.5000  6 Be 2.44-2.47
9 Ti 0.0000 0.0000 0.0000  4 Be 2.51
10 Ti 0.5000 0.5000 0.0000  4 Be 2.51

Calculated values
The formation energy from the elements comes out at -1.13 eV/f.u. Its crystal system is tetragonal. Its total moment is 0.00 μB/atom.

Entry 4:
First-principles (PBE-GGA) data for an optimized crystal structure of FeCuAu2, as listed in Alexandria via LeMat-Bulk.

Unit cell a=4.6804 b=4.6804 c=4.9553 alpha=80.11 beta=80.11 gamma=35.46
With the nearest neighbours (Å) after each atom.
Element x y z (fractional)
1 Au 0.9994 0.9994 0.0007  3 Cu 2.74-2.75, 3 Fe 2.74, 6 Au 2.85-2.86
2 Au 0.5006 0.5006 0.4993  3 Cu 2.74-2.75, 3 Fe 2.74, 6 Au 2.85-2.86
3 Cu 0.7500 0.7500 0.7500  6 Au 2.74-2.75, 2 Cu 2.85, 4 Fe 2.86
4 Fe 0.2500 0.2500 0.2500  6 Au 2.74, 2 Fe 2.85, 4 Cu 2.86

Calculated values
The formation energy from the elements comes out at 0.68 eV/f.u. Its crystal system is monoclinic. Its total moment is 0.76 μB/atom.

Entry 5:
First-principles (PBE-GGA) data for an optimized crystal structure of TePd, as listed in Alexandria via LeMat-Bulk.

Unit cell a=4.1610 b=4.1610 c=14.6629 alpha=90.00 beta=90.00 gamma=120.00
With the nearest neighbours (Å) after each atom.
Element x y z (fractional)
1 Te 0.3333 0.6667 0.0670  4 Pd 2.62-2.64
2 Te 0.6667 0.3333 0.5670  4 Pd 2.62-2.64
3 Te 0.0000 0.0000 0.3158  4 Pd 2.61-2.63
4 Te 0.0000 0.0000 0.8158  4 Pd 2.61-2.63
5 Pd 0.3333 0.6667 0.2468  4 Te 2.61-2.64
6 Pd 0.6667 0.3333 0.7468  4 Te 2.61-2.64
7 Pd 0.0000 0.0000 0.4955  4 Te 2.62-2.63
8 Pd 0.0000 0.0000 0.9955  4 Te 2.62-2.63

Calculated values
Its crystal system is hexagonal. Its total moment is 0.00 μB/atom. The raw formation energy is -0.157 eV per atom.

Entry 6:
First-principles (PBE-GGA) data for an optimized crystal structure of FeTc2Pt, as listed in Alexandria via LeMat-Bulk.

Unit cell a=4.7427 b=4.7427 c=4.7427 alpha=133.06 beta=133.06 gamma=68.55
With the nearest neighbours (Å) after each atom.
Element x y z (fractional)
1 Fe 0.2500 0.7500 0.5000  4 Pt 2.67, 8 Tc 2.72
2 Pt 0.7500 0.2500 0.5000  4 Fe 2.67, 8 Tc 2.72
3 Tc 0.0000 0.0000 0.0000  4 Tc 2.67, 4 Pt 2.72, 4 Fe 2.72
4 Tc 0.5000 0.5000 0.0000  4 Tc 2.67, 4 Fe 2.72, 4 Pt 2.72

Calculated values
The formation energy from the elements comes out at -0.10 eV/f.u. Its crystal system is tetragonal. Its total moment is 0.44 μB/atom.

Entry 7:
First-principles (PBE-GGA) data for an optimized crystal structure of SbRu3Cl, as listed in Alexandria via LeMat-Bulk.

Unit cell a=4.4410 b=4.4410 c=4.4410 alpha=90.00 beta=90.00 gamma=90.00
With the nearest neighbours (Å) after each atom.
Element x y z (fractional)
1 Sb 0.5000 0.5000 0.5000  12 Ru 3.14
2 Cl 0.0000 0.0000 0.0000  6 Ru 2.22
3 Ru 0.0000 0.5000 0.0000  2 Cl 2.22
4 Ru 0.0000 0.0000 0.5000  2 Cl 2.22
5 Ru 0.5000 0.0000 0.0000  2 Cl 2.22

Calculated values
Its crystal system is cubic. Its total moment is 0.00 μB/atom. The raw formation energy is 1.075 eV per atom.

Entry 8:
First-principles (PBE-GGA) data for an optimized crystal structure of Ce3Sm2Pt2, as listed in Alexandria via LeMat-Bulk.

Unit cell a=3.8400 b=6.2565 c=8.8116 alpha=70.39 beta=77.42 gamma=72.13
With the nearest neighbours (Å) after each atom.
Element x y z (fractional)
1 Ce 0.5000 0.0000 0.0000  4 Pt 2.90
2 Ce 0.3959 0.7569 0.4511  1 Ce 2.93, 3 Pt 2.93-3.17
3 Ce 0.6041 0.2431 0.5489  1 Ce 2.93, 3 Pt 2.93-3.17
4 Sm 0.1642 0.4888 0.1831  2 Pt 3.09
5 Sm 0.8358 0.5112 0.8169  2 Pt 3.09
6 Pt 0.1511 0.9327 0.7654  5 Ce 2.90-3.17, 2 Sm 3.09
7 Pt 0.8489 0.0673 0.2346  5 Ce 2.90-3.17, 2 Sm 3.09

Calculated values
The formation energy from the elements comes out at -4.42 eV/f.u. Its crystal system is monoclinic. Its total moment is 0.25 μB/atom.

Entry 9:
First-principles (PBE-GGA) data for an optimized crystal structure of SiTcPt2, as listed in Alexandria via LeMat-Bulk.

Unit cell a=4.8333 b=4.8333 c=4.9119 alpha=72.38 beta=72.38 gamma=32.88
With the nearest neighbours (Å) after each atom.
Element x y z (fractional)
1 Pt 0.9879 0.9879 0.0127  2 Si 2.56, 3 Tc 2.69-2.73, 3 Pt 2.74-2.84
2 Pt 0.7777 0.7777 0.6988  3 Si 2.48-2.75, 2 Pt 2.74
3 Si 0.5132 0.5132 0.5598  5 Pt 2.48-2.75, 2 Tc 2.50, 2 Si 2.74
4 Tc 0.2212 0.2212 0.2287  2 Si 2.50, 3 Pt 2.69-2.73, 2 Tc 2.74

Calculated values
Its crystal system is monoclinic. Its total moment is 0.00 μB/atom. The raw formation energy is -0.304 eV per atom.

Entry 10:
First-principles (PBE-GGA) data for an optimized crystal structure of AcTbEuIn, as listed in Alexandria via LeMat-Bulk.

Unit cell a=5.7243 b=5.7243 c=5.7243 alpha=60.00 beta=60.00 gamma=60.00
With the nearest neighbours (Å) after each atom.
Element x y z (fractional)
1 Eu 0.0000 0.0000 0.0000  4 Ac 3.51, 4 In 3.51
2 Ac 0.7500 0.7500 0.7500  4 Eu 3.51, 4 Tb 3.51
3 Tb 0.5000 0.5000 0.5000  4 Ac 3.51, 4 In 3.51
4 In 0.2500 0.2500 0.2500  4 Eu 3.51, 4 Tb 3.51

Calculated values
The formation energy from the elements comes out at -0.17 eV/f.u. Its crystal system is cubic. Its total moment is 2.00 μB/atom.

Entry 11:
First-principles (PBE-GGA) data for an optimized crystal structure of NaPaBr6, as listed in Alexandria via LeMat-Bulk.

Unit cell a=8.1225 b=8.1225 c=8.1225 alpha=60.00 beta=60.00 gamma=60.00
With the nearest neighbours (Å) after each atom.
Element x y z (fractional)
1 Na 0.5000 0.5000 0.5000  6 Br 3.03
2 Pa 0.0000 0.0000 0.0000  6 Br 2.72
3 Br 0.7636 0.7636 0.2364  1 Pa 2.72, 1 Na 3.03
4 Br 0.7636 0.2364 0.2364  1 Pa 2.72, 1 Na 3.03
5 Br 0.2364 0.7636 0.7636  1 Pa 2.72, 1 Na 3.03
6 Br 0.2364 0.2364 0.7636  1 Pa 2.72, 1 Na 3.03
7 Br 0.2364 0.7636 0.2364  1 Pa 2.72, 1 Na 3.03
8 Br 0.7636 0.2364 0.7636  1 Pa 2.72, 1 Na 3.03

Calculated values
Its crystal system is cubic. Its total moment is 0.00 μB/atom. The raw formation energy is -1.449 eV per atom.

Entry 12:
First-principles (PBE-GGA) data for an optimized crystal structure of PrY2Hf, as listed in Alexandria via LeMat-Bulk.

Unit cell a=3.3809 b=3.3809 c=12.3382 alpha=82.13 beta=82.13 gamma=60.00
With the nearest neighbours (Å) after each atom.
Element x y z (fractional)
1 Pr 0.5000 0.5000 0.5000  6 Pr 3.38, 6 Y 3.57
2 Y 0.0850 0.0850 0.7451  1 Hf 3.11, 6 Y 3.38
3 Y 0.9150 0.9150 0.2549  1 Hf 3.11, 6 Y 3.38
4 Hf 0.0000 0.0000 0.0000  2 Y 3.11, 6 Hf 3.38

Calculated values
The formation energy from the elements comes out at 1.62 eV/f.u. Its crystal system is trigonal. Its total moment is 0.00 μB/atom.

Entry 13:
First-principles (PBE-GGA) data for an optimized crystal structure of AgTeS2Cl, as listed in Alexandria via LeMat-Bulk.

Unit cell a=5.1004 b=5.1004 c=5.2307 alpha=90.00 beta=90.00 gamma=90.00
With the nearest neighbours (Å) after each atom.
Element x y z (fractional)
1 S 0.0000 0.5000 0.0000  2 Te 2.55
2 S 0.5000 0.0000 0.0000  2 Te 2.55
3 Te 0.0000 0.0000 0.0000  4 S 2.55, 2 Cl 2.62
4 Ag 0.5000 0.5000 0.5000  4 Cl 3.61, 8 S 3.65
5 Cl 0.0000 0.0000 0.5000  2 Te 2.62

Calculated values
Its crystal system is tetragonal. Its total moment is 0.00 μB/atom. The raw formation energy is 0.360 eV per atom.